Density functional theory data (PBE) for crystalline Ac3HIr at its relaxed geometry.

a = 7.866 Å, b = 4.137 Å, c = 9.649 Å
α = 90.00°, β = 105.55°, γ = 90.00°
Space group Pm (No. 6)
Symmetry-distinct sites (fractional):
Ac1 0.000 0.000 0.000 [1 per cell]
Ac2 0.137 0.500 0.681 [1 per cell]
Ac3 0.345 0.500 0.323 [1 per cell]
Ac4 0.482 0.000 0.005 [1 per cell]
Ac5 0.627 0.000 0.667 [1 per cell]
Ac6 0.855 0.000 0.337 [1 per cell]
H1 0.242 0.500 0.004 [1 per cell]
H2 0.741 0.500 0.502 [1 per cell]
Ir1 0.241 0.000 0.502 [1 per cell]
Ir2 0.741 0.500 0.002 [1 per cell]

Uncorrected energy in eV/atom: -5.273
Magnetization in μB/cell: 0.0

Density functional theory data (PBE) for crystalline AcH3Ir at its relaxed geometry.

a = 4.151 Å, b = 5.090 Å, c = 6.523 Å
α = 87.20°, β = 71.53°, γ = 89.91°
Space group P1 (No. 1)
Symmetry-distinct sites (fractional):
Ac1 0.000 0.000 0.000 [1 per cell]
Ac2 0.259 0.495 0.483 [1 per cell]
H1 0.095 0.505 0.914 [1 per cell]
H2 0.267 0.991 0.577 [1 per cell]
H3 0.447 0.268 0.109 [1 per cell]
H4 0.448 0.733 0.111 [1 per cell]
H5 0.680 0.657 0.646 [1 per cell]
H6 0.813 0.222 0.382 [1 per cell]
Ir1 0.539 0.508 0.915 [1 per cell]
Ir2 0.704 0.994 0.587 [1 per cell]

Uncorrected energy in eV/atom: -5.097
Magnetization in μB/cell: 0.0

Density functional theory data (PBE) for crystalline Ac2HIr at its relaxed geometry.

a = 3.588 Å, b = 3.588 Å, c = 7.533 Å
α = 90.00°, β = 90.00°, γ = 90.00°
Space group P4/mmm (No. 123)
Symmetry-distinct sites (fractional):
Ac1 0.000 0.000 0.246 [2 per cell]
H1 0.500 0.500 0.500 [1 per cell]
Ir1 0.500 0.500 0.000 [1 per cell]

Uncorrected energy in eV/atom: -5.354
Magnetization in μB/cell: 0.0

Density functional theory data (PBE) for crystalline AcH5Ir at its relaxed geometry.

a = 4.927 Å, b = 8.338 Å, c = 7.533 Å
α = 90.00°, β = 91.75°, γ = 90.00°
Space group C2/c (No. 15)
Symmetry-distinct sites (fractional):
Ac1 0.000 0.166 0.250 [4 per cell]
H1 0.000 0.483 0.250 [4 per cell]
H2 0.055 0.307 0.555 [8 per cell]
H3 0.179 0.058 0.959 [8 per cell]
Ir1 0.000 0.500 0.000 [4 per cell]

Uncorrected energy in eV/atom: -4.774
Magnetization in μB/cell: 0.0

Density functional theory data (PBE) for crystalline Ac3H3Ir at its relaxed geometry.

a = 7.3705 Å, b = 7.3705 Å, c = 21.1422 Å
α = 90.00°, β = 90.00°, γ = 120.00°
Space group R-3 (No. 148, hexagonal axes)
Symmetry-distinct sites (fractional):
Ac1 0.0011 0.3548 0.0858 [18 per cell]
H1 0.9995 0.3153 0.8738 [18 per cell]
Ir1 0.0000 0.0000 0.3326 [6 per cell]

Uncorrected energy in eV/atom: -4.971
Magnetization in μB/cell: 0.0

Density functional theory data (PBE) for crystalline Ac6HIr2 at its relaxed geometry.

a = 15.351 Å, b = 4.372 Å, c = 10.106 Å
α = 90.00°, β = 106.47°, γ = 90.00°
Space group C2/m (No. 12)
Symmetry-distinct sites (fractional):
Ac1 0.028 0.000 0.280 [4 per cell]
Ac2 0.141 0.500 0.030 [4 per cell]
Ac3 0.199 0.500 0.633 [4 per cell]
H1 0.000 0.000 0.000 [2 per cell]
Ir1 0.159 0.500 0.321 [4 per cell]

Uncorrected energy in eV/atom: -5.500
Magnetization in μB/cell: 0.0

Density functional theory data (PBE) for crystalline Ac2HIr at its relaxed geometry.

a = 4.3261 Å, b = 4.3261 Å, c = 6.9322 Å
α = 90.00°, β = 90.00°, γ = 120.00°
Space group P3m1 (No. 156)
Symmetry-distinct sites (fractional):
Ac1 0.0000 0.0000 0.0000 [1 per cell]
Ac2 0.3333 0.6667 0.5251 [1 per cell]
H1 0.0000 0.0000 0.3723 [1 per cell]
Ir1 0.6667 0.3333 0.7715 [1 per cell]

Uncorrected energy in eV/atom: -5.667
Magnetization in μB/cell: 0.0

Density functional theory data (PBE) for crystalline Ac2HIr at its relaxed geometry.

a = 4.2261 Å, b = 4.2261 Å, c = 21.8727 Å
α = 90.00°, β = 90.00°, γ = 120.00°
Space group R3m (No. 160, hexagonal axes)
Symmetry-distinct sites (fractional):
Ac1 0.0000 0.0000 0.0000 [3 per cell]
Ac2 0.0000 0.0000 0.1810 [3 per cell]
H1 0.0000 0.0000 0.4131 [3 per cell]
Ir1 0.0000 0.0000 0.5902 [3 per cell]

Uncorrected energy in eV/atom: -5.572
Magnetization in μB/cell: 0.0

Density functional theory data (PBE) for crystalline AcH8Ir2 at its relaxed geometry.

a = 7.141 Å, b = 6.712 Å, c = 5.657 Å
α = 90.00°, β = 112.70°, γ = 90.00°
Space group C2/m (No. 12)
Symmetry-distinct sites (fractional):
Ac1 0.000 0.000 0.000 [2 per cell]
H1 0.018 0.255 0.721 [8 per cell]
H2 0.160 0.500 0.087 [4 per cell]
H3 0.164 0.500 0.570 [4 per cell]
Ir1 0.019 0.500 0.756 [4 per cell]

Uncorrected energy in eV/atom: -4.634
Magnetization in μB/cell: 0.0

Density functional theory data (PBE) for crystalline Ac3HIr2 at its relaxed geometry.

a = 8.524 Å, b = 4.279 Å, c = 17.002 Å
α = 90.00°, β = 90.00°, γ = 90.00°
Space group Pnma (No. 62)
Symmetry-distinct sites (fractional):
Ac1 0.026 0.250 0.100 [4 per cell]
Ac2 0.133 0.750 0.430 [4 per cell]
Ac3 0.171 0.250 0.724 [4 per cell]
H1 0.106 0.250 0.867 [4 per cell]
Ir1 0.099 0.250 0.282 [4 per cell]
Ir2 0.250 0.250 0.535 [4 per cell]

Uncorrected energy in eV/atom: -6.132
Magnetization in μB/cell: 0.0

Density functional theory data (PBE) for crystalline Ac2HIr at its relaxed geometry.

a = 4.2935 Å, b = 4.2935 Å, c = 19.8579 Å
α = 90.00°, β = 90.00°, γ = 120.00°
Space group R-3m (No. 166, hexagonal axes)
Symmetry-distinct sites (fractional):
Ac1 0.0000 0.0000 0.2505 [6 per cell]
H1 0.0000 0.0000 0.5000 [3 per cell]
Ir1 0.0000 0.0000 0.0000 [3 per cell]

Uncorrected energy in eV/atom: -5.665
Magnetization in μB/cell: 0.0

Density functional theory data (PBE) for crystalline Ac3HIr2 at its relaxed geometry.

a = 13.490 Å, b = 5.970 Å, c = 8.647 Å
α = 90.00°, β = 108.77°, γ = 90.00°
Space group C2/c (No. 15)
Symmetry-distinct sites (fractional):
Ac1 0.000 0.002 0.250 [4 per cell]
Ac2 0.173 0.500 0.086 [8 per cell]
H1 0.000 0.495 0.250 [4 per cell]
Ir1 0.160 0.000 0.080 [8 per cell]

Uncorrected energy in eV/atom: -6.146
Magnetization in μB/cell: 0.0

Density functional theory data (PBE) for crystalline AcH8Ir2 at its relaxed geometry.

a = 5.280 Å, b = 8.832 Å, c = 4.022 Å
α = 90.00°, β = 90.07°, γ = 90.00°
Space group C2/m (No. 12)
Symmetry-distinct sites (fractional):
Ac1 0.000 0.000 0.000 [2 per cell]
H1 0.000 0.311 0.000 [4 per cell]
H2 0.001 0.500 0.744 [4 per cell]
H3 0.172 0.148 0.501 [8 per cell]
Ir1 0.000 0.330 0.500 [4 per cell]

Uncorrected energy in eV/atom: -4.590
Magnetization in μB/cell: 0.0

Density functional theory data (PBE) for crystalline Ac6HIr4 at its relaxed geometry.

a = 8.412 Å, b = 8.396 Å, c = 9.714 Å
α = 90.00°, β = 115.15°, γ = 90.00°
Space group Cm (No. 8)
Symmetry-distinct sites (fractional):
Ac1 0.000 0.000 0.000 [2 per cell]
Ac2 0.023 0.500 0.000 [2 per cell]
Ac3 0.120 0.239 0.712 [4 per cell]
Ac4 0.194 0.250 0.356 [4 per cell]
H1 0.443 0.500 0.357 [2 per cell]
Ir1 0.301 0.235 0.078 [4 per cell]
Ir2 0.318 0.500 0.634 [2 per cell]
Ir3 0.346 0.000 0.634 [2 per cell]

Uncorrected energy in eV/atom: -6.190
Magnetization in μB/cell: 0.0

Density functional theory data (PBE) for crystalline Ac8HIr5 at its relaxed geometry.

a = 9.285 Å, b = 9.285 Å, c = 9.380 Å
α = 90.00°, β = 90.00°, γ = 90.00°
Space group I-4 (No. 82)
Symmetry-distinct sites (fractional):
Ac1 0.056 0.194 0.186 [8 per cell]
Ac2 0.063 0.302 0.579 [8 per cell]
H1 0.000 0.500 0.250 [2 per cell]
Ir1 0.000 0.000 0.500 [2 per cell]
Ir2 0.131 0.247 0.881 [8 per cell]

Uncorrected energy in eV/atom: -6.315
Magnetization in μB/cell: 0.0

Density functional theory data (PBE) for crystalline Ac2H3Ir at its relaxed geometry.

a = 8.026 Å, b = 8.059 Å, c = 15.239 Å
α = 90.00°, β = 90.00°, γ = 90.00°
Space group Fmmm (No. 69)
Symmetry-distinct sites (fractional):
Ac1 0.235 0.000 0.000 [8 per cell]
Ac2 0.250 0.250 0.250 [8 per cell]
H1 0.000 0.000 0.267 [8 per cell]
H2 0.000 0.211 0.133 [16 per cell]
Ir1 0.000 0.000 0.149 [8 per cell]

Uncorrected energy in eV/atom: -4.953
Magnetization in μB/cell: 0.0

Density functional theory data (PBE) for crystalline Ac2HIr at its relaxed geometry.

a = 7.295 Å, b = 7.295 Å, c = 7.295 Å
α = 90.00°, β = 90.00°, γ = 90.00°
Space group Fm-3m (No. 225)
Symmetry-distinct sites (fractional):
Ac1 0.250 0.250 0.250 [8 per cell]
H1 0.000 0.000 0.000 [4 per cell]
Ir1 0.000 0.000 0.500 [4 per cell]

Uncorrected energy in eV/atom: -5.406
Magnetization in μB/cell: 0.0

Density functional theory data (PBE) for crystalline Ac3H12Ir5 at its relaxed geometry.

a = 12.302 Å, b = 12.302 Å, c = 12.302 Å
α = 90.00°, β = 90.00°, γ = 90.00°
Space group Ia-3d (No. 230)
Symmetry-distinct sites (fractional):
Ac1 0.000 0.250 0.125 [24 per cell]
H1 0.040 0.132 0.948 [96 per cell]
Ir1 0.000 0.000 0.000 [16 per cell]
Ir2 0.000 0.250 0.375 [24 per cell]

Uncorrected energy in eV/atom: -4.998
Magnetization in μB/cell: 0.0

Density functional theory data (PBE) for crystalline AcH3Ir at its relaxed geometry.

a = 3.895 Å, b = 3.895 Å, c = 3.895 Å
α = 90.00°, β = 90.00°, γ = 90.00°
Space group Pm-3m (No. 221)
Symmetry-distinct sites (fractional):
Ac1 0.000 0.000 0.000 [1 per cell]
H1 0.000 0.500 0.500 [3 per cell]
Ir1 0.500 0.500 0.500 [1 per cell]

Uncorrected energy in eV/atom: -5.059
Magnetization in μB/cell: 0.0